No. 1
DFT (SCAN) results for ZrScIn at its PBEsol-relaxed geometry.

a b c (Å): 3.284 3.284 6.548
angles (deg): 104.52 104.52 90.00
Sites, in units of the cell vectors:
Sc 0.335 0.335 0.670
Zr 0.666 0.666 0.331
In 0.999 0.999 0.999

Values from the calculation:
distance to the lowest polymorph of the same formula	0.00	eV/f.u.
formation energy	-0.382	eV/atom
raw total energy	-26.490	eV/atom

---

No. 2
DFT (SCAN) results for TcSb2Pt at its PBEsol-relaxed geometry.

a b c (Å): 3.296 4.537 5.371
angles (deg): 101.35 90.00 111.30
Sites, in units of the cell vectors:
Pt 0.500 0.000 0.000
Sb 0.743 0.486 0.737
Sb 0.257 0.514 0.263
Tc 0.000 0.000 0.500

Values from the calculation:
distance to the lowest polymorph of the same formula	0.00	eV/f.u.
uncorrected formation energy	0.14	eV/atom
raw total energy	-44.804	eV/atom

---

No. 3
DFT (SCAN) results for LaSn2 at its PBEsol-relaxed geometry.

a b c (Å): 4.531 4.696 8.110
angles (deg): 90.00 106.22 90.00
Sites, in units of the cell vectors:
La 0.147 0.000 0.294
La 0.853 0.000 0.706
Sn 0.500 0.000 0.000
Sn 0.000 0.500 0.000
Sn 0.320 0.500 0.639
Sn 0.680 0.500 0.361

Values from the calculation:
formation energy	-0.758	eV/atom
raw total energy	-39.074	eV/atom

---

No. 4
DFT (SCAN) results for YSiSe2 at its PBEsol-relaxed geometry.

a b c (Å): 3.726 4.089 5.500
angles (deg): 90.00 90.00 90.00
Sites, in units of the cell vectors:
Se 0.000 0.000 0.000
Se 0.000 0.500 0.500
Si 0.500 0.500 0.000
Y 0.500 0.000 0.500

Values from the calculation:
distance to the lowest polymorph of the same formula	1.28	eV/f.u.
uncorrected formation energy	-0.74	eV/atom
raw total energy	-20.240	eV/atom

---

No. 5
DFT (SCAN) results for Cd2TePb at its PBEsol-relaxed geometry.

a b c (Å): 3.231 3.231 10.067
angles (deg): 90.00 90.00 103.47
Sites, in units of the cell vectors:
Pb 0.000 0.000 0.520
Te 0.500 0.500 0.229
Cd 0.000 0.000 0.982
Cd 0.500 0.500 0.769

Values from the calculation:
distance to the lowest polymorph of the same formula	0.46	eV/f.u.
uncorrected formation energy	0.10	eV/atom
raw total energy	-43.365	eV/atom

---

No. 6
DFT (SCAN) results for K2TiSi3O9 at its PBEsol-relaxed geometry.

a b c (Å): 7.621 7.621 7.621
angles (deg): 82.59 82.59 82.59
Sites, in units of the cell vectors:
K 0.770 0.992 0.230
K 0.992 0.230 0.770
K 0.230 0.770 0.992
K 0.500 0.500 0.500
Ti 0.221 0.221 0.221
Ti 0.739 0.739 0.739
Si 0.511 0.098 0.891
Si 0.891 0.511 0.098
Si 0.098 0.891 0.511
Si 0.548 0.437 0.018
Si 0.018 0.548 0.437
Si 0.437 0.018 0.548
O 0.101 0.013 0.320
O 0.161 0.681 0.474
O 0.474 0.161 0.681
O 0.949 0.632 0.241
O 0.632 0.241 0.949
O 0.846 0.556 0.585
O 0.907 0.906 0.630
O 0.906 0.630 0.907
O 0.585 0.846 0.556
O 0.241 0.949 0.632
O 0.630 0.907 0.906
O 0.556 0.585 0.846
O 0.681 0.474 0.161
O 0.121 0.350 0.427
O 0.427 0.121 0.350
O 0.013 0.320 0.101
O 0.350 0.427 0.121
O 0.320 0.101 0.013

Values from the calculation:
distance to the lowest polymorph of the same formula	0.10	eV/f.u.
uncorrected formation energy	-2.98	eV/atom
raw total energy	-10.901	eV/atom

---

No. 7
DFT (SCAN) results for Mn2OsCl at its PBEsol-relaxed geometry.

a b c (Å): 2.865 2.865 6.899
angles (deg): 90.00 90.00 90.00
Last column: magnetic moment on the atom in μB.
Sites, in units of the cell vectors:
Mn 0.000 0.000 0.016  3.81
Mn 0.500 0.500 0.261  1.97
Os 0.000 0.000 0.449  -0.39
Cl 0.500 0.500 0.774  0.03

Values from the calculation:
distance to the lowest polymorph of the same formula	0.09	eV/f.u.
uncorrected formation energy	0.17	eV/atom
raw total energy	-28.920	eV/atom

---

No. 8
DFT (SCAN) results for ZrAgRh2 at its PBEsol-relaxed geometry.

a b c (Å): 3.740 4.077 4.077
angles (deg): 90.00 90.00 90.00
Sites, in units of the cell vectors:
Rh 0.000 0.000 0.500
Rh 0.000 0.500 0.000
Zr 0.500 0.500 0.500
Ag 0.500 0.000 0.000

Values from the calculation:
formation energy	-0.566	eV/atom
raw total energy	-32.968	eV/atom

---

No. 9
DFT (SCAN) results for MnCrAs3 at its PBEsol-relaxed geometry.

a b c (Å): 4.579 4.579 4.579
angles (deg): 90.00 90.00 90.00
Last column: magnetic moment on the atom in μB.
Sites, in units of the cell vectors:
Cr 0.500 0.500 0.500  4.15
As 0.000 0.500 0.000  -0.21
As 0.000 0.000 0.500  -0.21
As 0.500 0.000 0.000  -0.21
Mn 0.000 0.000 0.000  2.70

Values from the calculation:
formation energy	0.379	eV/atom
raw total energy	-19.063	eV/atom

---

No. 10
DFT (SCAN) results for La3TlC at its PBEsol-relaxed geometry.

a b c (Å): 5.162 5.162 5.162
angles (deg): 90.00 90.00 90.00
Sites, in units of the cell vectors:
Tl 0.000 0.000 0.000
C 0.500 0.500 0.500
La 0.500 0.000 0.500
La 0.000 0.500 0.500
La 0.500 0.500 0.000

Values from the calculation:
formation energy	-0.472	eV/atom
raw total energy	-42.827	eV/atom

---

No. 11
DFT (SCAN) results for LiTc2Ru at its PBEsol-relaxed geometry.

a b c (Å): 2.658 3.885 5.094
angles (deg): 90.00 90.00 90.00
Sites, in units of the cell vectors:
Li 0.000 0.000 0.506
Ru 0.500 0.500 0.733
Tc 0.000 0.000 0.001
Tc 0.500 0.500 0.259

Values from the calculation:
distance to the lowest polymorph of the same formula	0.39	eV/f.u.
formation energy	0.194	eV/atom
raw total energy	-26.640	eV/atom

---

No. 12
DFT (SCAN) results for HfZnSe2Br at its PBEsol-relaxed geometry.

a b c (Å): 4.807 5.280 5.280
angles (deg): 90.00 90.00 90.00
Sites, in units of the cell vectors:
Zn 0.500 0.500 0.500
Hf 0.500 0.000 0.000
Se 0.000 0.000 0.500
Se 0.000 0.500 0.000
Br 0.000 0.000 0.000

Values from the calculation:
distance to the lowest polymorph of the same formula	7.77	eV/f.u.
uncorrected formation energy	1.03	eV/atom
raw total energy	-26.129	eV/atom